Entry 1:
The following is a DFT calculation (GGA-PBE) of a geometry-optimized MnNb2InOs structure.

Geometry as POSCAR:
```
MnNb2InOs
1.0
4.480 0.000 0.000
0.000 4.480 0.000
0.000 0.000 4.744
Mn Nb In Os
1 2 1 1
Cartesian
0.000 0.000 0.000 Mn
0.000 2.240 0.000 Nb
2.240 0.000 0.000 Nb
0.000 0.000 2.372 In
2.240 2.240 2.372 Os
```

Properties
space-group type: P4/mmm (123)
energy relative to the elements: 1.115 eV per atom
total DFT energy (no corrections): -37.704 eV/cell
V: 95.2 Å³/cell

---

Entry 2:
The following is a DFT calculation (GGA-PBE) of a geometry-optimized KTe2Cl structure.

Geometry as POSCAR:
```
KTe2Cl
1.0
1.777 1.026 10.693
-1.777 1.026 10.693
0.000 -2.052 10.693
K Te Cl
1 2 1
Cartesian
0.000 0.000 0.000 K
0.000 0.000 7.787 Te
0.000 0.000 24.293 Te
0.000 0.000 16.040 Cl
```

Properties
space-group type: R-3m (166)
uncorrected formation energy: 0.024 eV/atom
relative energy among the computed polymorphs: 3.493 eV/f.u.
total DFT energy (no corrections): -9.130 eV/cell
V: 117.0 Å³/cell

---

Entry 3:
The following is a DFT calculation (GGA-PBE) of a geometry-optimized GaRhAu structure.

Geometry as POSCAR:
```
GaRhAu
1.0
-1.535 1.535 10.661
1.535 -1.535 10.661
1.535 1.535 -10.661
Ga Rh Au
2 2 2
Cartesian
0.000 0.000 2.487 Ga
0.000 0.000 18.835 Ga
0.000 0.000 9.384 Rh
0.000 0.000 11.938 Rh
0.000 0.000 6.365 Au
0.000 0.000 14.957 Au
```

Properties
space-group type: I4/mmm (139)
relative energy among the computed polymorphs: 0.441 eV/f.u.
energy relative to the elements: -0.151 eV per atom
total DFT energy (no corrections): -28.219 eV/cell
V: 100.4 Å³/cell

---

Entry 4:
The following is a DFT calculation (GGA-PBE) of a geometry-optimized PrNb2N3 structure.

Geometry as POSCAR:
```
PrNb2N3
1.0
4.437 -4.444 0.000
4.437 4.444 0.000
0.000 0.000 5.752
Pr Nb N
2 4 6
Cartesian
4.437 3.216 4.314 Pr
4.437 -3.216 1.438 Pr
3.023 0.000 0.000 Nb
3.023 0.000 2.876 Nb
5.850 0.000 0.000 Nb
5.850 0.000 2.876 Nb
1.648 0.446 4.314 N
1.648 -0.446 1.438 N
4.437 0.592 1.438 N
4.437 -0.592 4.314 N
7.225 0.446 4.314 N
7.225 -0.446 1.438 N
```

Properties
space-group type: Cmcm (63)
uncorrected formation energy: -0.447 eV/atom
total DFT energy (no corrections): -105.158 eV/cell
V: 226.8 Å³/cell

---

Entry 5:
The following is a DFT calculation (GGA-PBE) of a geometry-optimized Pr5Os2Cl2 structure.

Geometry as POSCAR:
```
Pr5Os2Cl2
1.0
7.711 -4.071 0.000
7.711 4.071 0.000
0.000 0.000 8.110
Pr Os Cl
10 4 4
Cartesian
0.000 0.000 0.000 Pr
5.917 2.795 5.288 Pr
5.917 1.276 1.233 Pr
9.505 2.795 5.288 Pr
9.505 1.276 1.233 Pr
7.711 0.000 4.055 Pr
5.917 -1.276 6.877 Pr
5.917 -2.795 2.822 Pr
9.505 -1.276 6.877 Pr
9.505 -2.795 2.822 Pr
7.711 2.940 2.920 Os
7.711 1.132 6.975 Os
7.711 -1.132 1.135 Os
7.711 -2.940 5.190 Os
3.168 0.000 0.000 Cl
4.543 0.000 4.055 Cl
10.878 0.000 4.055 Cl
12.254 0.000 0.000 Cl
```

Properties
space-group type: Cmce (64)
uncorrected formation energy: -0.653 eV/atom
total DFT energy (no corrections): -111.853 eV/cell
V: 509.2 Å³/cell

---

Entry 6:
The following is a DFT calculation (GGA-PBE) of a geometry-optimized HfVAu2C structure.

Geometry as POSCAR:
```
HfVAu2C
1.0
4.774 0.000 0.000
0.000 4.774 0.000
0.000 0.000 4.797
Hf V Au C
1 1 2 1
Cartesian
0.000 0.000 0.000 Hf
0.000 0.000 2.398 V
0.000 2.387 2.398 Au
2.387 0.000 2.398 Au
2.387 2.387 0.000 C
```

Properties
space-group type: P4/mmm (123)
energy relative to the elements: 2.075 eV per atom
total DFT energy (no corrections): -24.477 eV/cell
V: 109.3 Å³/cell

---

Entry 7:
The following is a DFT calculation (GGA-PBE) of a geometry-optimized PrBi2O6 structure.

Geometry as POSCAR:
```
PrBi2O6
1.0
8.379 0.000 0.000
0.000 6.137 0.000
0.000 0.000 5.768
Pr Bi O
2 4 12
Cartesian
0.000 1.041 0.000 Pr
4.189 5.096 2.884 Pr
2.084 4.495 5.665 Bi
2.105 1.642 2.781 Bi
6.274 1.642 2.781 Bi
6.295 4.495 5.665 Bi
0.000 1.675 3.476 O
0.000 4.837 5.180 O
1.578 2.655 0.918 O
1.728 6.021 1.446 O
2.461 0.116 4.330 O
2.612 3.482 3.802 O
4.189 1.300 2.296 O
4.189 4.462 0.592 O
5.767 3.482 3.802 O
5.918 0.116 4.330 O
6.650 6.021 1.446 O
6.801 2.655 0.918 O
```

Properties
space-group type: Pmn2_1 (31)
uncorrected formation energy: -1.498 eV/atom
total DFT energy (no corrections): -111.537 eV/cell
V: 296.6 Å³/cell

---

Entry 8:
The following is a DFT calculation (GGA-PBE) of a geometry-optimized Ca3Fe2 structure.

Geometry as POSCAR:
```
Ca3Fe2
1.0
1.757 1.015 12.437
-1.757 1.015 12.437
0.000 -2.029 12.437
Ca Fe
3 2
Cartesian
0.000 0.000 0.000 Ca
0.000 0.000 7.931 Ca
0.000 0.000 29.380 Ca
0.000 0.000 14.744 Fe
0.000 0.000 22.567 Fe
```

Properties
space-group type: R-3m (166)
energy relative to the elements: 0.704 eV per atom
total DFT energy (no corrections): -19.409 eV/cell
V: 133.0 Å³/cell